Here is a relaxed structure of PuTl2HCl6 from the Alexandria database. Energies are from PBE.

Results
SG ... P2_1/c
DFT total energy ... -4.557 eV per atom
Total moment ... 10.00 Bohr magnetons per cell

abc: 6.296 6.000 16.072
angles: 90.00 105.95 90.00
Each line ends with the local moment (μB).
Fractional coordinates of all 20 atoms:
Cl (0.856, 0.288, 0.001)  0.01
Cl (0.218, 0.213, 0.866)  0.02
Cl (0.935, 0.268, 0.635)  0.03
Cl (0.065, 0.732, 0.365)  0.03
Cl (0.644, 0.788, 0.499)  0.01
Cl (0.435, 0.232, 0.135)  0.03
Cl (0.565, 0.768, 0.865)  0.03
Cl (0.282, 0.713, 0.634)  0.02
Cl (0.782, 0.787, 0.134)  0.02
Cl (0.718, 0.287, 0.366)  0.02
Cl (0.144, 0.712, 0.999)  0.01
Cl (0.356, 0.212, 0.501)  0.01
Tl (0.457, 0.191, 0.715)  0.00
Tl (0.043, 0.691, 0.785)  0.00
Tl (0.957, 0.309, 0.215)  0.00
Tl (0.543, 0.809, 0.285)  0.00
H (0.000, 0.500, 0.000)  0.00
H (0.500, 0.000, 0.500)  0.00
Pu (0.000, 0.500, 0.500)  -5.04
Pu (0.500, 0.000, 0.000)  -5.04